A plane-wave DFT calculation with PBE+U was carried out for a relaxed structure of KNiH9C2O10.

Values from the calculation:
V: 9.41 Å³ per atom
Relative energy among the computed polymorphs: 0.00 kJ/mol of atoms
Theoretical density: 2.23 g/cm³
Magnetization: 0.09 μB/atom

```
data_KNiH9C2O10
_cell_length_a 5.355
_cell_length_b 6.661
_cell_length_c 7.082
_cell_angle_alpha 114.54
_cell_angle_beta 91.09
_cell_angle_gamma 107.31
_space_group_name_H-M_alt 'P -1'
_space_group_IT_number 2
loop_
_space_group_symop_operation_xyz
'x,y,z'
'-x,-y,-z'
loop_
_atom_site_label
_atom_site_fract_x
_atom_site_fract_y
_atom_site_fract_z
K1 0.000 0.000 0.000
Ni1 0.500 0.500 0.500
H1 0.000 0.500 0.000
H2 0.009 0.334 0.576
H3 0.208 0.203 0.598
H4 0.364 0.735 0.868
H5 0.428 0.907 0.753
C1 0.366 0.697 0.207
O1 0.144 0.267 0.508
O2 0.199 0.669 0.049
O3 0.279 0.573 0.307
O4 0.399 0.155 0.750
O5 0.471 0.778 0.768
```